Record 1
# SrLiY2

A relaxed SrLiY2 crystal (PBE, Alexandria).

```
data_SrLiY2
_chemical_formula_sum 'Sr1 Li1 Y2'
_space_group_name_H-M_alt 'P 4 m m'
_space_group_IT_number 99
_cell_length_a 3.768
_cell_length_b 3.768
_cell_length_c 9.548
_cell_angle_alpha 90.00
_cell_angle_beta 90.00
_cell_angle_gamma 90.00
loop_
_space_group_symop_operation_xyz
'x,y,z'
'-y,x,z'
'-x,-y,z'
'y,-x,z'
'-x,y,z'
'y,x,z'
'x,-y,z'
'-y,-x,z'
loop_
_atom_site_label
_atom_site_type_symbol
_atom_site_fract_x
_atom_site_fract_y
_atom_site_fract_z
Sr1 Sr 0.000 0.000 0.000
Li1 Li 0.500 0.500 0.255
Y1 Y 0.000 0.000 0.454
Y2 Y 0.500 0.500 0.693
```

Computed properties:
Energy of formation from the pure elements: 0.107 eV/atom
DOS(E_F): 6.227 states/eV per cell
Energy above the lowest structure with this stoichiometry: 0 kJ/mol of formula units


Record 2
# Sc2ZnAu

A relaxed Sc2ZnAu crystal (PBE, Alexandria).

```
data_Sc2ZnAu
_chemical_formula_sum 'Sc2 Zn1 Au1'
_space_group_name_H-M_alt 'P 4 m m'
_space_group_IT_number 99
_cell_length_a 3.543
_cell_length_b 3.543
_cell_length_c 6.288
_cell_angle_alpha 90.00
_cell_angle_beta 90.00
_cell_angle_gamma 90.00
loop_
_space_group_symop_operation_xyz
'x,y,z'
'-y,x,z'
'-x,-y,z'
'y,-x,z'
'-x,y,z'
'y,x,z'
'x,-y,z'
'-y,-x,z'
loop_
_atom_site_label
_atom_site_type_symbol
_atom_site_fract_x
_atom_site_fract_y
_atom_site_fract_z
Sc1 Sc 0.000 0.000 0.000
Sc2 Sc 0.500 0.500 0.315
Zn1 Zn 0.000 0.000 0.533
Au1 Au 0.500 0.500 0.779
```

Computed properties:
Energy of formation from the pure elements: -0.437 eV/atom
DOS(E_F): 2.447 states/eV per cell


Record 3
# ThInP

A relaxed ThInP crystal (PBE, Alexandria).

```
data_ThInP
_chemical_formula_sum 'Th6 In6 P6'
_space_group_name_H-M_alt 'R -3 m'
_space_group_IT_number 166
_space_group_name_Hall '-R 3 2"'
_cell_length_a 4.9776
_cell_length_b 4.9776
_cell_length_c 22.6616
_cell_angle_alpha 90.00
_cell_angle_beta 90.00
_cell_angle_gamma 120.00
loop_
_atom_site_label
_atom_site_type_symbol
_atom_site_fract_x
_atom_site_fract_y
_atom_site_fract_z
Th1 Th 0.0000 0.0000 0.0951
In1 In 0.0000 0.0000 0.3418
P1 P 0.0000 0.0000 0.2192
```

Computed properties:
Energy of formation from the pure elements: -0.698 eV/atom
DOS(E_F): 8.659 states/eV per cell


Record 4
# La2HOs

A relaxed La2HOs crystal (PBE, Alexandria).

```
data_La2HOs
_chemical_formula_sum 'La8 H4 Os4'
_space_group_name_H-M_alt 'I -4 2 d'
_space_group_IT_number 122
_space_group_name_Hall 'I -4 2bw'
_cell_length_a 5.581
_cell_length_b 5.581
_cell_length_c 13.414
_cell_angle_alpha 90.00
_cell_angle_beta 90.00
_cell_angle_gamma 90.00
loop_
_atom_site_label
_atom_site_type_symbol
_atom_site_fract_x
_atom_site_fract_y
_atom_site_fract_z
La1 La 0.221 0.250 0.125
H1 H 0.000 0.000 0.000
Os1 Os 0.000 0.000 0.500
```

Computed properties:
DOS(E_F): 10.658 states/eV per cell
Energy above the lowest structure with this stoichiometry: 90 kJ/mol of formula units


Record 5
# SmHgBiRh

A relaxed SmHgBiRh crystal (PBE, Alexandria).

```
data_SmHgBiRh
_chemical_formula_sum 'Sm4 Hg4 Bi4 Rh4'
_space_group_name_H-M_alt 'F -4 3 m'
_space_group_IT_number 216
_space_group_name_Hall 'F -4 2 3'
_cell_length_a 7.205
_cell_length_b 7.205
_cell_length_c 7.205
_cell_angle_alpha 90.00
_cell_angle_beta 90.00
_cell_angle_gamma 90.00
loop_
_atom_site_label
_atom_site_type_symbol
_atom_site_fract_x
_atom_site_fract_y
_atom_site_fract_z
Sm1 Sm 0.000 0.000 0.000
Hg1 Hg 0.250 0.250 0.250
Bi1 Bi 0.000 0.000 0.500
Rh1 Rh 0.250 0.250 0.750
```

Computed properties:
Energy of formation from the pure elements: -0.343 eV/atom
DOS(E_F): 15.993 states/eV per cell


Record 6
# Na3PrHg4

A relaxed Na3PrHg4 crystal (PBE, Alexandria).

```
data_Na3PrHg4
_chemical_formula_sum 'Na9 Pr3 Hg12'
_space_group_name_H-M_alt 'R -3 m'
_space_group_IT_number 166
_space_group_name_Hall '-R 3 2"'
_cell_length_a 5.3160
_cell_length_b 5.3160
_cell_length_c 26.0225
_cell_angle_alpha 90.00
_cell_angle_beta 90.00
_cell_angle_gamma 120.00
loop_
_atom_site_label
_atom_site_type_symbol
_atom_site_fract_x
_atom_site_fract_y
_atom_site_fract_z
Na1 Na 0.0000 0.0000 0.0000
Na2 Na 0.0000 0.0000 0.2531
Pr1 Pr 0.0000 0.0000 0.5000
Hg1 Hg 0.0000 0.0000 0.1265
Hg2 Hg 0.0000 0.0000 0.3777
```

Computed properties:
Energy of formation from the pure elements: -0.297 eV/atom
DOS(E_F): 11.589 states/eV per cell


Record 7
# DyMgSc2Hg4

A relaxed DyMgSc2Hg4 crystal (PBE, Alexandria).

```
data_DyMgSc2Hg4
_chemical_formula_sum 'Dy3 Mg3 Sc6 Hg12'
_space_group_name_H-M_alt 'R -3 m'
_space_group_IT_number 166
_space_group_name_Hall '-R 3 2"'
_cell_length_a 5.0040
_cell_length_b 5.0040
_cell_length_c 25.0268
_cell_angle_alpha 90.00
_cell_angle_beta 90.00
_cell_angle_gamma 120.00
loop_
_atom_site_label
_atom_site_type_symbol
_atom_site_fract_x
_atom_site_fract_y
_atom_site_fract_z
Dy1 Dy 0.0000 0.0000 0.0000
Mg1 Mg 0.0000 0.0000 0.5000
Sc1 Sc 0.0000 0.0000 0.2458
Hg1 Hg 0.0000 0.0000 0.1257
Hg2 Hg 0.0000 0.0000 0.3781
```

Computed properties:
Energy of formation from the pure elements: -0.404 eV/atom
DOS(E_F): 15.882 states/eV per cell


Record 8
# NaSnPd2

A relaxed NaSnPd2 crystal (PBE, Alexandria).

```
data_NaSnPd2
_chemical_formula_sum 'Na1 Sn1 Pd2'
_space_group_name_H-M_alt 'P 4/m m m'
_space_group_IT_number 123
_space_group_name_Hall '-P 4 2'
_cell_length_a 4.680
_cell_length_b 4.680
_cell_length_c 3.243
_cell_angle_alpha 90.00
_cell_angle_beta 90.00
_cell_angle_gamma 90.00
loop_
_atom_site_label
_atom_site_type_symbol
_atom_site_fract_x
_atom_site_fract_y
_atom_site_fract_z
Na1 Na 0.000 0.000 0.000
Sn1 Sn 0.500 0.500 0.000
Pd1 Pd 0.000 0.500 0.500
```

Computed properties:
Energy of formation from the pure elements: -0.383 eV/atom
DOS(E_F): 1.727 states/eV per cell